NaMg6MnO8 | GGA+U | relaxed

Structure (POSCAR):
```
NaMg6MnO8
1.0
4.294 0.000 0.000
0.000 4.294 0.000
0.000 0.000 8.586
Na Mg Mn O
1 6 1 8
Direct
0.000 0.000 0.000 Na
0.000 0.000 0.500 Mg
0.000 0.500 0.249 Mg
0.000 0.500 0.751 Mg
0.500 0.000 0.249 Mg
0.500 0.000 0.751 Mg
0.500 0.500 0.500 Mg
0.500 0.500 0.000 Mn
0.000 0.000 0.265 O
0.000 0.000 0.735 O
0.000 0.500 0.000 O
0.000 0.500 0.500 O
0.500 0.000 0.000 O
0.500 0.000 0.500 O
0.500 0.500 0.239 O
0.500 0.500 0.761 O
```

Output
ρ in g cm⁻³: 3.7
DFT total energy in eV per atom: -5.993
Energy above the lowest structure with this stoichiometry in meV per atom: 10